# 1
Compound: LiMgPS4
Source: Alexandria
Functional: PBE
Structure: relaxed

## Properties
ΔE_f (raw) = -0.66 eV per atom
space group = Imma, No. 74

Cell lengths 7.152, 7.152, 7.152 Å; angles 121.78, 117.20, 90.93 degrees
Sites, in units of the cell vectors:
Li (0.500, 0.000, 0.000)
Li (0.500, 0.500, 0.500)
Mg (0.000, 0.000, 0.000)
Mg (0.500, 0.000, 0.500)
P (0.122, 0.372, 0.750)
P (0.878, 0.628, 0.250)
S (0.217, 0.736, 0.481)
S (0.245, 0.264, 0.981)
S (0.251, 0.257, 0.506)
S (0.251, 0.745, 0.994)
S (0.749, 0.255, 0.006)
S (0.749, 0.743, 0.494)
S (0.755, 0.736, 0.019)
S (0.783, 0.264, 0.519)

***

# 2
Compound: Pu2PaRh
Source: Alexandria
Functional: PBE
Structure: relaxed

## Properties
polymorph energy (0 for the lowest one) = 342 meV/atom
formation energy = 0.508 eV/f.u.
space group = R-3m, No. 166

Cell lengths 10.178, 10.178, 10.178 Å; angles 18.26, 18.26, 18.26 degrees
Sites, in units of the cell vectors:
Pu (0.095, 0.095, 0.095)
Pu (0.905, 0.905, 0.905)
Pa (0.000, 0.000, 0.000)
Rh (0.500, 0.500, 0.500)

***

# 3
Compound: Ni2PtPbAu
Source: Alexandria
Functional: PBE
Structure: relaxed

## Properties
formation energy = 4.227 eV/f.u.
space group = P4/mmm, No. 123

Cell lengths 4.697, 4.697, 5.159 Å; angles 90.00, 90.00, 90.00 degrees
Sites, in units of the cell vectors:
Ni (0.000, 0.500, 0.000)
Ni (0.500, 0.000, 0.000)
Pt (0.000, 0.000, 0.000)
Pb (0.000, 0.000, 0.500)
Au (0.500, 0.500, 0.500)

***

# 4
Compound: SrZrZn2Pt2
Source: Alexandria
Functional: PBE
Structure: relaxed

## Properties
formation energy = -4.354 eV/f.u.
space group = P-3m1, No. 164

Cell lengths 4.453, 4.453, 7.390 Å; angles 90.00, 90.00, 120.00 degrees
Sites, in units of the cell vectors:
Sr (0.000, 0.000, 0.000)
Zr (0.000, 0.000, 0.500)
Zn (0.333, 0.667, 0.702)
Zn (0.667, 0.333, 0.298)
Pt (0.333, 0.667, 0.318)
Pt (0.667, 0.333, 0.682)

***

# 5
Compound: CePaOsAu
Source: Alexandria
Functional: PBE
Structure: relaxed

## Properties
formation energy = -0.897 eV/f.u.
space group = F-43m, No. 216

Cell lengths 5.000, 5.000, 5.000 Å; angles 60.00, 60.00, 60.00 degrees
Sites, in units of the cell vectors:
Ce (0.000, 0.000, 0.000)
Pa (0.500, 0.500, 0.500)
Os (0.250, 0.250, 0.250)
Au (0.750, 0.750, 0.750)

***

# 6
Compound: SnTe2Se
Source: Alexandria
Functional: PBE
Structure: relaxed

## Properties
ΔE_f (raw) = 0.12 eV per atom
space group = I-42d, No. 122

Cell lengths 9.649, 9.649, 9.649 Å; angles 145.65, 145.65, 49.36 degrees
Sites, in units of the cell vectors:
Sn (0.000, 0.000, 0.000)
Sn (0.750, 0.250, 0.500)
Te (0.155, 0.625, 0.030)
Te (0.375, 0.405, 0.530)
Te (0.595, 0.125, 0.970)
Te (0.875, 0.845, 0.470)
Se (0.250, 0.750, 0.500)
Se (0.500, 0.500, 0.000)

***

# 7
Compound: Nd2GdHo
Source: Alexandria
Functional: PBE
Structure: relaxed

## Properties
polymorph energy (0 for the lowest one) = 4 meV/atom
formation energy = 0.067 eV/f.u.
space group = P4/mmm, No. 123

Cell lengths 3.631, 3.631, 10.166 Å; angles 90.00, 90.00, 90.00 degrees
Sites, in units of the cell vectors:
Nd (0.000, 0.000, 0.247)
Nd (0.000, 0.000, 0.753)
Gd (0.500, 0.500, 0.500)
Ho (0.500, 0.500, 0.000)

***

# 8
Compound: KZrV2
Source: Alexandria
Functional: PBE
Structure: relaxed

## Properties
polymorph energy (0 for the lowest one) = 0 meV/atom
formation energy = 5.531 eV/f.u.
space group = Fm-3m, No. 225

Cell lengths 5.047, 5.047, 5.047 Å; angles 60.00, 60.00, 60.00 degrees
Sites, in units of the cell vectors:
K (0.000, 0.000, 0.000)
Zr (0.500, 0.500, 0.500)
V (0.250, 0.250, 0.250)
V (0.750, 0.750, 0.750)

***

# 9
Compound: Hf6Tc5Rh
Source: Alexandria
Functional: PBE
Structure: relaxed

## Properties
formation energy = -7.167 eV/f.u.
space group = Immm, No. 71

Cell lengths 7.998, 7.998, 7.998 Å; angles 146.46, 131.97, 59.85 degrees
Sites, in units of the cell vectors:
Hf (0.081, 0.332, 0.748)
Hf (0.247, 0.000, 0.247)
Hf (0.416, 0.668, 0.748)
Hf (0.584, 0.332, 0.252)
Hf (0.753, 0.000, 0.753)
Hf (0.919, 0.668, 0.252)
Tc (0.000, 0.500, 0.500)
Tc (0.166, 0.166, 0.000)
Tc (0.334, 0.834, 0.500)
Tc (0.666, 0.166, 0.500)
Tc (0.834, 0.834, 0.000)
Rh (0.500, 0.500, 0.000)

***

# 10
Compound: Ba9Nd2S12
Source: Alexandria
Functional: PBE
Structure: relaxed

## Properties
ΔE_f (raw) = -2.04 eV per atom
space group = C2/m, No. 12

Cell lengths 7.759, 7.759, 14.720 Å; angles 95.04, 95.04, 119.99 degrees
Sites, in units of the cell vectors:
Ba (0.000, 0.000, 0.000)
Ba (0.099, 0.420, 0.262)
Ba (0.258, 0.258, 0.738)
Ba (0.331, 0.669, 0.000)
Ba (0.420, 0.099, 0.262)
Ba (0.580, 0.901, 0.738)
Ba (0.669, 0.331, 0.000)
Ba (0.742, 0.742, 0.262)
Ba (0.901, 0.580, 0.738)
Nd (0.167, 0.833, 0.500)
Nd (0.833, 0.167, 0.500)
S (0.044, 0.711, 0.133)
S (0.095, 0.095, 0.391)
S (0.168, 0.536, 0.609)
S (0.289, 0.956, 0.867)
S (0.376, 0.376, 0.127)
S (0.464, 0.832, 0.391)
S (0.536, 0.168, 0.609)
S (0.624, 0.624, 0.873)
S (0.711, 0.044, 0.133)
S (0.832, 0.464, 0.391)
S (0.905, 0.905, 0.609)
S (0.956, 0.289, 0.867)

***

# 11
Compound: Sm2Ho3TmS6
Source: Alexandria
Functional: PBE
Structure: relaxed

## Properties
ΔE_f (raw) = -1.98 eV per atom
space group = C2/m, No. 12

Cell lengths 8.755, 8.755, 7.881 Å; angles 103.11, 103.11, 25.78 degrees
Sites, in units of the cell vectors:
Sm (0.168, 0.168, 0.336)
Sm (0.832, 0.832, 0.664)
Ho (0.169, 0.169, 0.833)
Ho (0.500, 0.500, 0.500)
Ho (0.831, 0.831, 0.167)
Tm (0.500, 0.500, 0.000)
S (0.003, 0.003, 0.755)
S (0.336, 0.336, 0.926)
S (0.337, 0.337, 0.410)
S (0.663, 0.663, 0.590)
S (0.664, 0.664, 0.074)
S (0.997, 0.997, 0.245)

***

# 12
Compound: Gd2TmI
Source: Alexandria
Functional: PBE
Structure: relaxed

## Properties
polymorph energy (0 for the lowest one) = 38 meV/atom
ΔE_f (raw) = -0.32 eV per atom
space group = P4/mmm, No. 123

Cell lengths 3.663, 3.663, 9.441 Å; angles 90.00, 90.00, 90.00 degrees
Sites, in units of the cell vectors:
Gd (0.000, 0.000, 0.246)
Gd (0.000, 0.000, 0.754)
Tm (0.500, 0.500, 0.500)
I (0.500, 0.500, 0.000)

***

Number 1: total magnetic moment 0.00 μB per formula unit, raw total energy -60.039 eV for the cell shown. Number 2: total magnetic moment 10.74 μB per formula unit, raw total energy -45.003 eV for the cell shown. Number 3: total magnetic moment 1.97 μB per formula unit, raw total energy -20.362 eV for the cell shown. Number 4: total magnetic moment 0.00 μB per formula unit, raw total energy -29.214 eV for the cell shown. Number 5: total magnetic moment 0.07 μB per formula unit, raw total energy -30.834 eV for the cell shown. Number 6: total magnetic moment 0.00 μB per formula unit, raw total energy -26.594 eV for the cell shown. Number 7: total magnetic moment 7.27 μB per formula unit, raw total energy -28.128 eV for the cell shown. Number 8: total magnetic moment 6.14 μB per formula unit, raw total energy -22.352 eV for the cell shown. Number 9: total magnetic moment 0.00 μB per formula unit, raw total energy -126.069 eV for the cell shown. Number 10: total magnetic moment 0.00 μB per formula unit, raw total energy -123.282 eV for the cell shown. Number 11: total magnetic moment 0.00 μB per formula unit, raw total energy -76.196 eV for the cell shown. Number 12: total magnetic moment 15.03 μB per formula unit, raw total energy -35.478 eV for the cell shown.